1.
DFT (meta-GGA SCAN) results for a crystal of Tl5Ag relaxed with PBEsol.

Values from the calculation:
Size of the total moment = 0.00 μB per cell
Theoretical density = 12.028 g/cm3
DOS at the Fermi energy = 4.948 states/eV/cell
Energy of formation from the pure elements = 0.10 eV per atom

Cell: 5.3181 3.5454 16.5444 Å, 90.00 90.00 90.00°
Space group Amm2 (No. 38)
One atom of each set of equivalent atoms:
Tl: 0.0000 0.0000 0.0000
Tl: 0.0000 0.0000 0.3101
Tl: 0.5000 0.0000 0.1168
Tl: 0.5000 0.0000 0.4435
Tl: 0.5000 0.0000 0.7753
Ag: 0.0000 0.0000 0.6550


2.
DFT (meta-GGA SCAN) results for a crystal of TlAg2 relaxed with PBEsol.

Values from the calculation:
Size of the total moment = 0.00 μB per cell
Theoretical density = 11.552 g/cm3
DOS at the Fermi energy = 8.321 states/eV/cell
Energy of formation from the pure elements = 0.12 eV per atom

Cell: 5.5740 5.5740 17.9550 Å, 90.00 90.00 120.00°
Space group P6_3/mmc (No. 194)
One atom of each set of equivalent atoms:
Tl: 0.0000 0.0000 0.0945
Tl: 0.3333 0.6667 0.1570
Ag: 0.0000 0.5000 0.0000
Ag: 0.1644 0.3287 0.7500
Ag: 0.3333 0.6667 0.6250


3.
DFT (meta-GGA SCAN) results for a crystal of Tl2Ag relaxed with PBEsol.

Values from the calculation:
Size of the total moment = 0.00 μB per cell
Theoretical density = 11.992 g/cm3
DOS at the Fermi energy = 3.990 states/eV/cell
Energy of formation from the pure elements = 0.11 eV per atom

Cell: 13.1092 3.3728 6.7186 Å, 90.00 105.58 90.00°
Space group C2/m (No. 12)
One atom of each set of equivalent atoms:
Tl: 0.1457 0.0000 0.0726
Tl: 0.1553 0.0000 0.5820
Ag: 0.0012 0.5000 0.2645


4.
DFT (meta-GGA SCAN) results for a crystal of TlAg2 relaxed with PBEsol.

Values from the calculation:
Size of the total moment = 0.00 μB per cell
Theoretical density = 11.908 g/cm3
DOS at the Fermi energy = 3.154 states/eV/cell
Energy of formation from the pure elements = 0.10 eV per atom

Cell: 11.1380 3.1329 7.2287 Å, 90.00 111.72 90.00°
Space group C2/m (No. 12)
One atom of each set of equivalent atoms:
Tl: 0.1620 0.0000 0.1254
Ag: 0.0435 0.5000 0.7528
Ag: 0.1491 0.0000 0.5266


5.
DFT (meta-GGA SCAN) results for a crystal of Tm2TlAg relaxed with PBEsol.

Values from the calculation:
Size of the total moment = 0.00 μB per cell
Theoretical density = 11.485 g/cm3
DOS at the Fermi energy = 6.416 states/eV/cell
Energy of formation from the pure elements = -0.48 eV per atom

Cell: 7.2175 7.2175 7.2175 Å, 90.00 90.00 90.00°
Space group Fm-3m (No. 225)
One atom of each set of equivalent atoms:
Tm: 0.2500 0.2500 0.2500
Tl: 0.0000 0.0000 0.0000
Ag: 0.0000 0.0000 0.5000


6.
DFT (meta-GGA SCAN) results for a crystal of Tl2AgW relaxed with PBEsol.

Values from the calculation:
Size of the total moment = 0.00 μB per cell
Theoretical density = 14.683 g/cm3
DOS at the Fermi energy = 3.057 states/eV/cell
Energy of formation from the pure elements = 0.77 eV per atom

Cell: 3.0404 5.3228 9.7897 Å, 90.00 90.00 90.00°
Space group Cmmm (No. 65)
One atom of each set of equivalent atoms:
Tl: 0.0000 0.0000 0.2501
Ag: 0.0000 0.5000 0.0000
W: 0.0000 0.5000 0.5000


7.
DFT (meta-GGA SCAN) results for a crystal of Tl2AgW relaxed with PBEsol.

Values from the calculation:
Size of the total moment = 0.00 μB per cell
Theoretical density = 14.839 g/cm3
DOS at the Fermi energy = 4.355 states/eV/cell
Energy of formation from the pure elements = 0.93 eV per atom

Cell: 9.5541 2.9528 5.6495 Å, 90.00 100.37 90.00°
Space group C2/m (No. 12)
One atom of each set of equivalent atoms:
Tl: 0.2493 0.0000 0.2434
Ag: 0.0000 0.0000 0.5000
W: 0.0000 0.5000 0.0000


8.
DFT (meta-GGA SCAN) results for a crystal of TlAgW2 relaxed with PBEsol.

Values from the calculation:
Size of the total moment = 0.00 μB per cell
Theoretical density = 15.979 g/cm3
DOS at the Fermi energy = 2.802 states/eV/cell
Energy of formation from the pure elements = 0.89 eV per atom

Cell: 3.3310 4.7206 8.9873 Å, 90.00 90.00 90.00°
Space group Imm2 (No. 44)
One atom of each set of equivalent atoms:
Tl: 0.0000 0.0000 0.0000
Ag: 0.0000 0.5000 0.7559
W: 0.0000 0.0000 0.5203
W: 0.0000 0.5000 0.2297